[1]
A geometry-optimized Cs2Pd2S3 structure, computed with PBE.

Computed properties:
ρ = 4.70 Mg/m³
E = -29.1 eV for the cell shown
SG = No. 12
Size of the total moment = 0.00 μB/atom
Uncorrected formation energy = -4.7 eV/f.u.

CIF file:
```
data_Cs2Pd2S3
_space_group_name_H-M_alt 'P 1'
_space_group_IT_number 1
_cell_length_a 4.6098
_cell_length_b 6.9463
_cell_length_c 7.2955
_cell_angle_alpha 112.26
_cell_angle_beta 108.42
_cell_angle_gamma 90.00
loop_
_space_group_symop_operation_xyz
'x,y,z'
loop_
_atom_site_label
_atom_site_fract_x
_atom_site_fract_y
_atom_site_fract_z
Cs1 0.6121 0.7893 0.2243
Cs2 0.3879 0.2107 0.7757
Pd1 0.8493 0.6827 0.6987
Pd2 0.1507 0.3173 0.3013
S1 0.0000 0.0000 0.0000
S2 0.7036 0.3498 0.4071
S3 0.2964 0.6502 0.5929
```

---

[2]
A geometry-optimized Pm4Nd11Dy9 structure, computed with PBE.

Computed properties:
ρ = 7.40 Mg/m³
E = -111.4 eV for the cell shown
SG = No. 65
Formation enthalpy at 0 K = 0.06 eV/atom
Size of the total moment = 0.00 μB/atom

CIF file:
```
data_Pm4Nd11Dy9
_space_group_name_H-M_alt 'P 1'
_space_group_IT_number 1
_cell_length_a 3.7176
_cell_length_b 15.4276
_cell_length_c 15.4276
_cell_angle_alpha 112.94
_cell_angle_beta 90.00
_cell_angle_gamma 90.00
loop_
_space_group_symop_operation_xyz
'x,y,z'
loop_
_atom_site_label
_atom_site_fract_x
_atom_site_fract_y
_atom_site_fract_z
Pm1 0.5000 0.5548 0.7566
Pm2 0.5000 0.4452 0.2434
Pm3 0.5000 0.7566 0.5548
Pm4 0.5000 0.2434 0.4452
Nd1 0.0000 0.5938 0.9559
Nd2 0.0000 0.4062 0.0441
Nd3 0.0000 0.9559 0.5938
Nd4 0.0000 0.0441 0.4062
Nd5 0.0000 0.6333 0.3667
Nd6 0.0000 0.3667 0.6333
Nd7 0.0000 0.8405 0.1595
Nd8 0.0000 0.1595 0.8405
Nd9 0.0000 0.0000 0.0000
Nd10 0.0000 0.7099 0.7099
Nd11 0.0000 0.2901 0.2901
Dy1 0.5000 0.6336 0.1638
Dy2 0.5000 0.3664 0.8362
Dy3 0.5000 0.1638 0.6336
Dy4 0.5000 0.8362 0.3664
Dy5 0.5000 0.7883 0.9344
Dy6 0.5000 0.2117 0.0656
Dy7 0.5000 0.9344 0.7883
Dy8 0.5000 0.0656 0.2117
Dy9 0.5000 0.5000 0.5000
```

---

Q: Look up the ρ of the second one.
A: 7.40 Mg/m³

---

Q: ρ of number 2 (Pm4Nd11Dy9)?
A: 7.40 Mg/m³